No. 1
# Zr4IrC2

A relaxed structure of Zr4IrC2 (PBE-GGA, Alexandria via LeMat-Bulk).

Results
* total magnetic moment: 0.00 μB per formula unit
* space group: Cmcm, No. 63
* formation energy from the elements: -731 meV/atom
* theoretical density: 8.4 Mg/m³

Cell lengths 3.3920, 5.8901, 12.0714 Å; angles 90.00, 90.00, 106.73 degrees
Last column: nearest neighbours and their distance in Å.
Element x y z (fractional)
1 C 0.1342 0.2685 0.4394  6 Zr 2.30-2.40
2 C 0.8658 0.7315 0.9394  6 Zr 2.30-2.40
3 C 0.1342 0.2685 0.0606  6 Zr 2.30-2.40
4 C 0.8658 0.7315 0.5606  6 Zr 2.30-2.40
5 Ir 0.6111 0.2221 0.7500  6 Zr 2.65-2.76
6 Ir 0.3889 0.7779 0.2500  6 Zr 2.65-2.76
7 Zr 0.7700 0.5400 0.1075  3 C 2.30-2.35
8 Zr 0.7700 0.5400 0.3925  3 C 2.30-2.35
9 Zr 0.2300 0.4600 0.8925  3 C 2.30-2.35
10 Zr 0.2300 0.4600 0.6075  3 C 2.30-2.35
11 Zr 0.9307 0.8614 0.7500  2 C 2.40, 2 Ir 2.65
12 Zr 0.0693 0.1386 0.2500  2 C 2.40, 2 Ir 2.65
13 Zr 0.5000 0.0000 0.0000  4 C 2.39
14 Zr 0.5000 0.0000 0.5000  4 C 2.39

=====

No. 2
# ZrIrC3

A relaxed structure of ZrIrC3 (PBE-GGA, Alexandria via LeMat-Bulk).

Results
* total magnetic moment: 0.00 μB per formula unit
* space group: Pm-3m, No. 221
* formation energy from the elements: 2737 meV/atom
* theoretical density: 7.2 Mg/m³
* excess energy over the best structure of this formula in the dataset: 1202 meV/atom

Cell lengths 4.2001, 4.2001, 4.2001 Å; angles 90.00, 90.00, 90.00 degrees
Last column: nearest neighbours and their distance in Å.
Element x y z (fractional)
1 C 0.0000 0.5000 0.0000  2 Zr 2.10
2 C 0.0000 0.0000 0.5000  2 Zr 2.10
3 C 0.5000 0.0000 0.0000  2 Zr 2.10
4 Ir 0.5000 0.5000 0.5000  12 C 2.97
5 Zr 0.0000 0.0000 0.0000  6 C 2.10

=====

No. 3
# ZrIrC2

A relaxed structure of ZrIrC2 (PBE-GGA, Alexandria via LeMat-Bulk).

Results
* total magnetic moment: 0.00 μB per formula unit
* space group: Fm-3m, No. 225
* formation energy from the elements: 752 meV/atom
* theoretical density: 11.3 Mg/m³
* excess energy over the best structure of this formula in the dataset: 514 meV/atom

Cell lengths 3.9945, 3.9945, 3.9945 Å; angles 60.00, 60.00, 60.00 degrees
Last column: nearest neighbours and their distance in Å.
Element x y z (fractional)
1 C 0.2500 0.2500 0.2500  4 Zr 2.45, 4 Ir 2.45
2 C 0.7500 0.7500 0.7500  4 Ir 2.45, 4 Zr 2.45
3 Ir 0.5000 0.5000 0.5000  8 C 2.45
4 Zr 0.0000 0.0000 0.0000  8 C 2.45

=====

No. 4
# KC8

A relaxed structure of KC8 (PBE-GGA, Alexandria via LeMat-Bulk).

Results
* total magnetic moment: 0.00 μB per formula unit
* space group: Fddd, No. 70
* formation energy from the elements: -42 meV/atom
* theoretical density: 2.0 Mg/m³
* excess energy over the best structure of this formula in the dataset: 0 meV/atom

Cell lengths 11.5427, 10.9921, 4.9815 Å; angles 83.49, 71.11, 25.39 degrees
Last column: nearest neighbours and their distance in Å.
Element x y z (fractional)
1 K 0.0000 0.0000 0.0000  12 C 3.04-3.05
2 K 0.2500 0.2500 0.2500  12 C 3.04-3.05
3 C 0.5415 0.2085 0.2921  3 C 1.44
4 C 0.9579 0.2921 0.2085  3 C 1.44
5 C 0.2921 0.9579 0.5415  3 C 1.44
6 C 0.2085 0.5415 0.9579  3 C 1.44
7 C 0.7085 0.0415 0.9579  3 C 1.44
8 C 0.2921 0.9579 0.0415  3 C 1.44
9 C 0.9579 0.2921 0.7085  3 C 1.44
10 C 0.0415 0.7085 0.2921  3 C 1.44
11 C 0.0413 0.7074 0.7919  3 C 1.43-1.44
12 C 0.4594 0.7919 0.7074  3 C 1.43-1.44
13 C 0.7919 0.4594 0.0413  3 C 1.43-1.44
14 C 0.7074 0.0413 0.4594  3 C 1.43-1.44
15 C 0.2087 0.5426 0.4581  3 C 1.43-1.44
16 C 0.7906 0.4581 0.5426  3 C 1.43-1.44
17 C 0.4581 0.7906 0.2087  3 C 1.43-1.44
18 C 0.5426 0.2087 0.7906  3 C 1.43-1.44

=====

No. 5
# KC

A relaxed structure of KC (PBE-GGA, Alexandria via LeMat-Bulk).

Results
* total magnetic moment: 3.00 μB per formula unit
* space group: Pm-3n, No. 223
* formation energy from the elements: 2380 meV/atom
* theoretical density: 0.9 Mg/m³
* excess energy over the best structure of this formula in the dataset: 2136 meV/atom

Cell lengths 8.3091, 8.3091, 8.3091 Å; angles 90.00, 90.00, 90.00 degrees
Last column: nearest neighbours and their distance in Å.
Element x y z (fractional)
1 K 0.2500 0.5000 0.0000  4 C 2.94
2 K 0.7500 0.5000 0.0000  4 C 2.94
3 K 0.5000 0.0000 0.2500  4 C 2.94
4 K 0.5000 0.0000 0.7500  4 C 2.94
5 K 0.0000 0.2500 0.5000  4 C 2.94
6 K 0.0000 0.7500 0.5000  4 C 2.94
7 C 0.2500 0.0000 0.5000  4 K 2.94
8 C 0.7500 0.0000 0.5000  4 K 2.94
9 C 0.0000 0.5000 0.2500  4 K 2.94
10 C 0.0000 0.5000 0.7500  4 K 2.94
11 C 0.5000 0.2500 0.0000  4 K 2.94
12 C 0.5000 0.7500 0.0000  4 K 2.94

=====

No. 6
# KC4

A relaxed structure of KC4 (PBE-GGA, Alexandria via LeMat-Bulk).

Results
* total magnetic moment: 4.55 μB per formula unit
* space group: Pm-3m, No. 221
* formation energy from the elements: 5474 meV/atom
* theoretical density: 0.9 Mg/m³
* excess energy over the best structure of this formula in the dataset: 5300 meV/atom

Cell lengths 5.4647, 5.4647, 5.4647 Å; angles 90.00, 90.00, 90.00 degrees
Last column: nearest neighbours and their distance in Å.
Element x y z (fractional)
1 K 0.5000 0.5000 0.5000  6 C 2.73
2 C 0.0000 0.0000 0.0000  12 C 3.86
3 C 0.5000 0.0000 0.5000  2 K 2.73
4 C 0.0000 0.5000 0.5000  2 K 2.73
5 C 0.5000 0.5000 0.0000  2 K 2.73

=====

No. 7
# KC

A relaxed structure of KC (PBE-GGA, Alexandria via LeMat-Bulk).

Results
* total magnetic moment: 3.00 μB per formula unit
* space group: R-3m, No. 166
* formation energy from the elements: 2478 meV/atom
* theoretical density: 0.7 Mg/m³
* excess energy over the best structure of this formula in the dataset: 2234 meV/atom

Cell lengths 12.5728, 12.5728, 12.5728 Å; angles 22.61, 22.61, 22.61 degrees
Last column: nearest neighbours and their distance in Å.
Element x y z (fractional)
1 K 0.5397 0.5397 0.5397  3 C 2.85
2 K 0.7103 0.7103 0.7103  3 C 2.85
3 C 0.0435 0.0435 0.0435  3 K 2.85
4 C 0.2065 0.2065 0.2065  3 K 2.85

=====

No. 8
# K2C

A relaxed structure of K2C (PBE-GGA, Alexandria via LeMat-Bulk).

Results
* total magnetic moment: 2.00 μB per formula unit
* space group: P-62m, No. 189
* formation energy from the elements: 1409 meV/atom
* theoretical density: 1.7 Mg/m³
* excess energy over the best structure of this formula in the dataset: 43 meV/atom

Cell lengths 7.9852, 7.9852, 4.7232 Å; angles 90.00, 90.00, 120.00 degrees
Last column: nearest neighbours and their distance in Å.
Element x y z (fractional)
1 K 0.2609 0.0000 0.0000  4 C 2.99-3.15
2 K 0.0000 0.2609 0.0000  4 C 2.99-3.15
3 K 0.7391 0.7391 0.0000  4 C 2.99-3.15
4 K 0.5922 0.0000 0.5000  5 C 3.26-3.38, 2 K 3.55
5 K 0.0000 0.5922 0.5000  5 C 3.26-3.38, 2 K 3.55
6 K 0.4078 0.4078 0.5000  5 C 3.26-3.38, 2 K 3.55
7 C 0.3333 0.6667 0.0000  3 K 2.99
8 C 0.6667 0.3333 0.0000  3 K 2.99
9 C 0.0000 0.0000 0.5000  9 K 3.15-3.26

=====

No. 9
# K2C

A relaxed structure of K2C (PBE-GGA, Alexandria via LeMat-Bulk).

Results
* total magnetic moment: 2.44 μB per formula unit
* space group: P-3m1, No. 164
* formation energy from the elements: 1530 meV/atom
* theoretical density: 1.0 Mg/m³
* excess energy over the best structure of this formula in the dataset: 164 meV/atom

Cell lengths 4.6262, 4.6262, 23.7137 Å; angles 90.00, 90.00, 120.00 degrees
Last column: nearest neighbours and their distance in Å.
Element x y z (fractional)
1 K 0.0000 0.0000 0.9037  3 C 2.83
2 K 0.0000 0.0000 0.0963  3 C 2.83
3 K 0.3333 0.6667 0.7469  1 C 2.78
4 K 0.6667 0.3333 0.2531  1 C 2.78
5 K 0.3333 0.6667 0.5598  3 C 3.02
6 K 0.6667 0.3333 0.4402  3 C 3.02
7 C 0.0000 0.0000 0.5000  6 K 3.02
8 C 0.3333 0.6667 0.8639  4 K 2.78-2.83
9 C 0.6667 0.3333 0.1361  4 K 2.78-2.83

=====

No. 10
# K5C4

A relaxed structure of K5C4 (PBE-GGA, Alexandria via LeMat-Bulk).

Results
* total magnetic moment: 1.04 μB per formula unit
* space group: I4/mmm, No. 139
* formation energy from the elements: 580 meV/atom
* theoretical density: 1.0 Mg/m³
* excess energy over the best structure of this formula in the dataset: 0 meV/atom

Cell lengths 8.0205, 8.0205, 8.0205 Å; angles 115.38, 115.38, 98.21 degrees
Last column: nearest neighbours and their distance in Å.
Element x y z (fractional)
1 K 0.0000 0.0000 0.0000  4 K 3.54, 4 C 3.65
2 K 0.7080 0.2920 0.0000  2 C 2.75
3 K 0.2920 0.7080 0.0000  2 C 2.75
4 K 0.2920 0.2920 0.5840  2 C 2.75
5 K 0.7080 0.7080 0.4160  2 C 2.75
6 C 0.5740 0.0000 0.5740  1 C 1.27
7 C 0.4260 0.0000 0.4260  1 C 1.27
8 C 0.0000 0.4260 0.4260  1 C 1.27
9 C 0.0000 0.5740 0.5740  1 C 1.27

=====

No. 11
# KC

A relaxed structure of KC (PBE-GGA, Alexandria via LeMat-Bulk).

Results
* total magnetic moment: 3.00 μB per formula unit
* space group: Imma, No. 74
* formation energy from the elements: 2429 meV/atom
* theoretical density: 1.0 Mg/m³
* excess energy over the best structure of this formula in the dataset: 2185 meV/atom

Cell lengths 9.7289, 9.7289, 9.7289 Å; angles 155.23, 155.18, 35.35 degrees
Last column: nearest neighbours and their distance in Å.
Element x y z (fractional)
1 K 0.8727 0.1227 0.2500  4 C 2.95
2 K 0.1273 0.8773 0.7500  4 C 2.95
3 C 0.3726 0.6226 0.2500  4 K 2.95
4 C 0.6274 0.3774 0.7500  4 K 2.95